[1]
Material: K3V2InCl9
Method: DFT, PBE
State: optimized geometry

M_tot = 5.00 μB/cell
Formation energy (no corrections) = -1.4273 eV/atom

Unit cell a=7.0753 b=7.0753 c=10.0744 alpha=90.00 beta=90.00 gamma=120.00
Space group P-3m1 (No. 164)
One atom of each set of equivalent atoms:
1 K 0.0000 0.0000 0.0000 [1 per cell]
2 K 0.3333 0.6667 0.7408 [2 per cell]
3 V 0.3333 0.6667 0.1490 [2 per cell]
4 In 0.0000 0.0000 0.5000 [1 per cell]
5 Cl 0.0000 0.5000 0.0000 [3 per cell]
6 Cl 0.1721 0.3443 0.2785 [6 per cell]

=====

[2]
Material: CuReOs2
Method: DFT, PBE
State: optimized geometry

M_tot = 0.00 μB/cell
ΔH_f (0 K) = 40.5 kJ/mol of atoms

Unit cell a=2.849 b=4.428 c=8.870 alpha=90.00 beta=90.00 gamma=90.00
Space group Immm (No. 71)
One atom of each set of equivalent atoms:
1 Cu 0.000 0.000 0.000 [2 per cell]
2 Re 0.000 0.000 0.500 [2 per cell]
3 Os 0.000 0.500 0.263 [4 per cell]